Entry from Alexandria: crystalline PmErLuCd at its relaxed geometry (PBE).

Computed properties:
D(E_F)	1.18	states/eV per atom
VASP energy	-59.64	eV per cell
calculated volume	28.46	Å³ per atom
energy relative to the elements	-40	meV per atom

Unit cell a=7.693 b=7.693 c=7.693 alpha=90.00 beta=90.00 gamma=90.00
Space group F-43m (No. 216)
Asymmetric unit:
Pm 0.000 0.000 0.000 [4 per cell]
Er 0.000 0.000 0.500 [4 per cell]
Lu 0.250 0.250 0.250 [4 per cell]
Cd 0.250 0.250 0.750 [4 per cell]